No. 1
DFT (PBE-GGA) results for a relaxed structure of HoHPb.

a b c (Å): 3.658 3.658 5.149
angles (deg): 90.00 90.00 120.00
Fractional positions:
H: 0.333 0.667 0.833
Ho: 0.000 0.000 0.833
Pb: 0.667 0.333 0.333

Output
calculated volume = 19.89 A^3/atom
DFT total energy = -4.419 eV/atom
space-group type = P-6m2, No. 187



No. 2
DFT (PBE-GGA) results for a relaxed structure of HoScH4.

a b c (Å): 3.487 3.487 4.941
angles (deg): 90.00 90.00 90.00
Fractional positions:
H: 0.500 0.000 0.269
H: 0.000 0.500 0.269
H: 0.500 0.000 0.731
H: 0.000 0.500 0.731
Ho: 0.000 0.000 0.000
Sc: 0.500 0.500 0.500

Output
calculated volume = 10.01 A^3/atom
DFT total energy = -4.740 eV/atom
space-group type = P4/mmm, No. 123



No. 3
DFT (PBE-GGA) results for a relaxed structure of Ho2SnH6.

a b c (Å): 5.106 5.106 5.106
angles (deg): 60.00 60.00 60.00
Fractional positions:
H: 0.698 0.302 0.302
H: 0.302 0.698 0.302
H: 0.698 0.698 0.302
H: 0.302 0.302 0.698
H: 0.698 0.302 0.698
H: 0.302 0.698 0.698
Ho: 0.250 0.250 0.250
Ho: 0.750 0.750 0.750
Sn: 0.000 0.000 0.000

Output
calculated volume = 10.46 A^3/atom
DFT total energy = -3.464 eV/atom
space-group type = Fm-3m, No. 225



No. 4
DFT (PBE-GGA) results for a relaxed structure of HoTaH4.

a b c (Å): 3.412 3.412 4.684
angles (deg): 90.00 90.00 90.00
Fractional positions:
H: 0.500 0.000 0.287
H: 0.000 0.500 0.287
H: 0.500 0.000 0.713
H: 0.000 0.500 0.713
Ho: 0.000 0.000 0.000
Ta: 0.500 0.500 0.500

Output
calculated volume = 9.09 A^3/atom
DFT total energy = -5.355 eV/atom
space-group type = P4/mmm, No. 123